DFT (PBE with a Hubbard U) results for FeCo2CO after structural relaxation.

Raw total energy (eV/atom): -4.2841
Relative energy among the computed polymorphs (eV/atom): 1.033

Cell lengths 4.6264, 3.4632, 4.6264 Å; angles 90.00, 90.00, 90.00 degrees
Last column: nearest neighbours and their distance in Å.
Element x y z (fractional)
Co 0.0000 0.0000 0.5000  2 Fe 2.31
Co 0.5000 0.0000 0.0000  2 Fe 2.31
Fe 0.0000 0.0000 0.0000  2 O 1.73
C 0.5000 0.5000 0.5000  8 Co 2.89
O 0.0000 0.5000 0.0000  2 Fe 1.73